Record 1
This record from Alexandria describes a geometry-optimized TbTcPbO6 structure. The functional is PBE-GGA.

abc: 5.603 5.603 5.107
angles: 90.00 90.00 60.00
Element x y z (fractional)
O (0.349, 0.606, 0.287)
O (0.606, 0.045, 0.287)
O (0.606, 0.349, 0.713)
O (0.045, 0.606, 0.713)
O (0.349, 0.045, 0.713)
O (0.045, 0.349, 0.287)
Pb (0.000, 0.000, 0.000)
Tc (0.333, 0.333, 0.500)
Tb (0.667, 0.667, 0.500)

Summary:
As for the total magnetization: 0.00 μB per formula unit. The space group is No. 149. The value obtained for the uncorrected formation energy is -42.1 kcal/mol of atoms. The value obtained for the calculated total energy is -64.87 eV/cell.



Record 2
This record from Alexandria describes a geometry-optimized TbTcPb2O6 structure. The functional is PBE-GGA.

abc: 5.887 5.895 8.309
angles: 90.00 90.33 90.00
Element x y z (fractional)
O (0.234, 0.199, 0.455)
O (0.808, 0.772, 0.958)
O (0.734, 0.301, 0.955)
O (0.266, 0.699, 0.045)
O (0.420, 0.984, 0.732)
O (0.080, 0.484, 0.768)
O (0.580, 0.016, 0.268)
O (0.692, 0.272, 0.542)
O (0.920, 0.516, 0.232)
O (0.192, 0.228, 0.042)
O (0.766, 0.801, 0.545)
O (0.308, 0.728, 0.458)
Tc (0.000, 0.500, 0.000)
Tc (0.500, 0.000, 0.500)
Pb (0.509, 0.528, 0.747)
Pb (0.991, 0.028, 0.753)
Pb (0.009, 0.972, 0.247)
Pb (0.491, 0.472, 0.253)
Tb (0.000, 0.500, 0.500)
Tb (0.500, 0.000, 0.000)

Summary:
As for the total magnetization: 2.00 μB per formula unit. The space group is No. 14. The value obtained for the uncorrected formation energy is -41.3 kcal/mol of atoms. The value obtained for the calculated total energy is -140.18 eV/cell.



Record 3
This record from Alexandria describes a geometry-optimized Tb2TiPbO6 structure. The functional is PBE-GGA.

abc: 5.605 5.397 5.397
angles: 90.00 90.00 90.00
Element x y z (fractional)
O (0.751, 0.769, 0.231)
O (0.751, 0.769, 0.769)
O (0.106, 0.500, 0.500)
O (0.751, 0.231, 0.769)
O (0.751, 0.231, 0.231)
O (0.285, 0.000, 0.000)
Ti (0.610, 0.000, 0.000)
Tb (0.962, 0.000, 0.500)
Tb (0.962, 0.500, 0.000)
Pb (0.517, 0.500, 0.500)

Summary:
As for the total magnetization: 0.00 μB per formula unit. The space group is No. 99. The value obtained for the uncorrected formation energy is -61.0 kcal/mol of atoms. The value obtained for the calculated total energy is -77.08 eV/cell.



Record 4
This record from Alexandria describes a geometry-optimized Tb4TlPbO structure. The functional is PBE-GGA.

abc: 6.523 6.509 9.164
angles: 90.00 110.85 90.00
Element x y z (fractional)
Tb (0.000, 0.500, 0.500)
Tb (0.933, 0.250, 0.865)
Tb (0.000, 0.000, 0.500)
Tb (0.500, 0.500, 0.500)
Tb (0.500, 0.000, 0.500)
Tb (0.067, 0.750, 0.135)
Tb (0.583, 0.250, 0.166)
Tb (0.417, 0.750, 0.834)
Pb (0.609, 0.750, 0.217)
Pb (0.391, 0.250, 0.783)
Tl (0.113, 0.250, 0.226)
Tl (0.887, 0.750, 0.774)
O (0.276, 0.750, 0.552)
O (0.724, 0.250, 0.448)

Summary:
As for the total magnetization: 0.00 μB per formula unit. The space group is No. 63. The value obtained for the uncorrected formation energy is -25.8 kcal/mol of atoms. The value obtained for the calculated total energy is -74.76 eV/cell.



calculated total energy of number 4 (Tb4TlPbO)?
-74.76 eV/cell



What is the formula in the first record?
TbTcPbO6



Among the records above, which one has the lowest uncorrected formation energy?
Tb2TiPbO6